Record 1
Below is a relaxed structure of Tc3RhCl, with properties calculated at the PBE-GGA level.

## Properties
VASP energy (eV/cell): -34.70
V (Å³/cell): 79
Energy above the most stable polymorph in this dataset (eV/atom): 0.000
Spin magnetization (μB per formula unit): 0.00

Cell: 4.297 4.297 4.297 Å, 90.00 90.00 90.00°
Space group Pm-3m (No. 221)
Symmetry-distinct sites (fractional):
Tc  0.000  0.000  0.500 [3 per cell]
Rh  0.500  0.500  0.500 [1 per cell]
Cl  0.000  0.000  0.000 [1 per cell]

Record 2
Below is a relaxed structure of FeBiAs2I, with properties calculated at the PBE-GGA level.

## Properties
VASP energy (eV/cell): -17.40
V (Å³/cell): 158
Spin magnetization (μB per formula unit): 3.60

Cell: 5.567 5.567 5.103 Å, 90.00 90.00 90.00°
Space group P4/mmm (No. 123)
Symmetry-distinct sites (fractional):
Fe  0.000  0.000  0.000 [1 per cell]
Bi  0.000  0.000  0.500 [1 per cell]
As  0.000  0.500  0.500 [2 per cell]
I  0.500  0.500  0.000 [1 per cell]

Record 3
Below is a relaxed structure of Li2CrAu2, with properties calculated at the PBE-GGA level.

## Properties
VASP energy (eV/cell): -41.48
V (Å³/cell): 154
Energy above the most stable polymorph in this dataset (eV/atom): 0.000
Spin magnetization (μB per formula unit): 4.20
Formation energy from the elements (eV per atom): -0.147

Cell: 7.131 7.131 3.030 Å, 90.00 90.00 90.00°
Space group P4/mbm (No. 127)
Symmetry-distinct sites (fractional):
Li  0.121  0.379  0.000 [4 per cell]
Cr  0.000  0.000  0.000 [2 per cell]
Au  0.179  0.679  0.500 [4 per cell]